Here is a relaxed structure of TbPm2Sm3S6 from the Alexandria database. Energies are from PBE-GGA.

Summary:
SG	No. 12
raw formation energy	-2028	meV/atom
final energy	-6.449	eV per atom

Lattice parameters (Å, degrees): 6.9423 6.9423 6.9290 99.59 99.59 120.18
Closest atoms and distances in Å follow each position.
Fractional coordinates of all 12 atoms:
Tb  0.0000  0.0000  0.0000  6 S 2.79-2.80
Pm  0.3331  0.6669  0.0000  6 S 2.84-2.85
Pm  0.6669  0.3331  0.0000  6 S 2.84-2.85
Sm  0.1694  0.8306  0.5000  6 S 2.82-2.85
Sm  0.8306  0.1694  0.5000  6 S 2.82-2.85
Sm  0.5000  0.5000  0.5000  6 S 2.82-2.86
S  0.9174  0.5899  0.7519  1 Tb 2.79, 3 Sm 2.82-2.85, 2 Pm 2.84
S  0.7561  0.7561  0.2504  1 Tb 2.80, 3 Sm 2.84-2.86, 2 Pm 2.85
S  0.0826  0.4101  0.2481  1 Tb 2.79, 3 Sm 2.82-2.85, 2 Pm 2.84
S  0.5899  0.9174  0.7519  1 Tb 2.79, 3 Sm 2.82-2.85, 2 Pm 2.84
S  0.2439  0.2439  0.7496  1 Tb 2.80, 3 Sm 2.84-2.86, 2 Pm 2.85
S  0.4101  0.0826  0.2481  1 Tb 2.79, 3 Sm 2.82-2.85, 2 Pm 2.84

---

Here is a relaxed structure of Tb4PmSmS8 from the Alexandria database. Energies are from PBE-GGA.

Summary:
SG	No. 160
raw formation energy	-1930	meV/atom
final energy	-6.288	eV per atom

Lattice parameters (Å, degrees): 8.1269 8.1269 8.1621 60.14 60.14 60.00
Closest atoms and distances in Å follow each position.
Fractional coordinates of all 14 atoms:
Tb  0.6256  0.6256  0.1232  4 S 2.62-2.65
Tb  0.9997  0.5012  0.4994  6 S 2.77-2.79
Tb  0.5012  0.9997  0.4994  6 S 2.77-2.79
Tb  0.9997  0.9997  0.4994  6 S 2.77-2.79
Pm  0.9997  0.9997  0.0010  6 S 2.83-2.85
Sm  0.3742  0.3742  0.8775  4 S 2.66-2.69
S  0.2452  0.7753  0.7343  1 Sm 2.66, 2 Tb 2.77, 1 Pm 2.83
S  0.7753  0.2452  0.7343  1 Sm 2.66, 2 Tb 2.77, 1 Pm 2.83
S  0.2452  0.2452  0.7343  1 Sm 2.67, 2 Tb 2.77, 1 Pm 2.83
S  0.2399  0.2399  0.2803  1 Sm 2.69, 3 Tb 2.77
S  0.7529  0.2307  0.2635  3 Tb 2.62-2.78, 1 Pm 2.85
S  0.2307  0.7529  0.2635  3 Tb 2.62-2.78, 1 Pm 2.85
S  0.7529  0.7529  0.2635  3 Tb 2.62-2.78, 1 Pm 2.85
S  0.7579  0.7579  0.7263  4 Tb 2.65-2.79

---

Here is a relaxed structure of TbPmSm2S6 from the Alexandria database. Energies are from PBE-GGA.

Summary:
SG	No. 146
raw formation energy	-2035	meV/atom
final energy	-6.393	eV per atom

Lattice parameters (Å, degrees): 7.0700 7.0701 7.4673 61.74 61.74 60.00
Closest atoms and distances in Å follow each position.
Fractional coordinates of all 10 atoms:
Tb  0.3158  0.3158  0.0526  6 S 2.74-2.80
Pm  0.8130  0.8130  0.5610  6 S 2.78-2.87
Sm  0.5199  0.5199  0.4404  6 S 2.78-2.86
Sm  0.0179  0.0180  0.9462  6 S 2.77-2.86
S  0.6115  0.2129  0.2517  1 Tb 2.74, 2 Sm 2.78-2.86, 1 Pm 2.87
S  0.2129  0.9239  0.2517  1 Tb 2.74, 2 Sm 2.78-2.86, 1 Pm 2.87
S  0.9240  0.6116  0.2517  1 Tb 2.74, 2 Sm 2.78-2.86, 1 Pm 2.87
S  0.4144  0.7109  0.7533  2 Sm 2.77-2.86, 1 Pm 2.78, 1 Tb 2.80
S  0.7109  0.1214  0.7534  2 Sm 2.77-2.86, 1 Pm 2.78, 1 Tb 2.80
S  0.1214  0.4144  0.7533  2 Sm 2.77-2.86, 1 Pm 2.78, 1 Tb 2.80

---

Here is a relaxed structure of Tb2Pm3SmS6 from the Alexandria database. Energies are from PBE-GGA.

Summary:
SG	No. 12
raw formation energy	-2029	meV/atom
final energy	-6.445	eV per atom

Lattice parameters (Å, degrees): 6.9162 6.9162 6.9286 99.55 99.55 120.17
Closest atoms and distances in Å follow each position.
Fractional coordinates of all 12 atoms:
Tb  0.3336  0.6664  0.0000  6 S 2.78-2.79
Tb  0.6664  0.3336  0.0000  6 S 2.78-2.79
Pm  0.1646  0.8354  0.5000  6 S 2.84-2.86
Pm  0.8354  0.1646  0.5000  6 S 2.84-2.86
Pm  0.5000  0.5000  0.5000  6 S 2.83-2.86
Sm  0.0000  0.0000  0.0000  6 S 2.82
S  0.9190  0.5811  0.7569  2 Tb 2.78-2.79, 1 Sm 2.82, 3 Pm 2.84-2.86
S  0.7425  0.7425  0.2414  2 Tb 2.78, 1 Sm 2.82, 3 Pm 2.83-2.85
S  0.0810  0.4189  0.2431  2 Tb 2.78-2.79, 1 Sm 2.82, 3 Pm 2.84-2.86
S  0.5811  0.9190  0.7569  2 Tb 2.78-2.79, 1 Sm 2.82, 3 Pm 2.84-2.86
S  0.2575  0.2575  0.7586  2 Tb 2.78, 1 Sm 2.82, 3 Pm 2.83-2.85
S  0.4189  0.0810  0.2431  2 Tb 2.78-2.79, 1 Sm 2.82, 3 Pm 2.84-2.86

---

Here is a relaxed structure of Tb3Pm4SmS8 from the Alexandria database. Energies are from PBE-GGA.

Summary:
SG	No. 166
raw formation energy	-2020	meV/atom
final energy	-6.435	eV per atom

Lattice parameters (Å, degrees): 7.9684 7.9994 7.9684 119.87 120.00 90.00
Closest atoms and distances in Å follow each position.
Fractional coordinates of all 16 atoms:
Tb  0.5000  0.5000  0.0000  6 S 2.78
Tb  0.5000  0.5000  0.5000  6 S 2.78
Tb  0.0000  0.5000  0.5000  6 S 2.78
Pm  0.5000  0.0000  0.0000  6 S 2.83
Pm  0.5000  0.0000  0.5000  6 S 2.86
Pm  0.0000  0.0000  0.0000  6 S 2.86
Pm  0.0000  0.0000  0.5000  6 S 2.86
Sm  0.0000  0.5000  0.0000  6 S 2.81
S  0.2491  0.7418  0.9927  2 Tb 2.78, 1 Sm 2.81, 3 Pm 2.83-2.86
S  0.2492  0.7418  0.4983  2 Tb 2.78, 1 Sm 2.81, 3 Pm 2.83-2.86
S  0.2536  0.2608  0.5072  3 Tb 2.78, 3 Pm 2.86
S  0.7435  0.7418  0.9927  2 Tb 2.78, 1 Sm 2.81, 3 Pm 2.83-2.86
S  0.2565  0.2582  0.0073  2 Tb 2.78, 1 Sm 2.81, 3 Pm 2.83-2.86
S  0.7464  0.7392  0.4928  3 Tb 2.78, 3 Pm 2.86
S  0.7508  0.2582  0.5017  2 Tb 2.78, 1 Sm 2.81, 3 Pm 2.83-2.86
S  0.7509  0.2582  0.0073  2 Tb 2.78, 1 Sm 2.81, 3 Pm 2.83-2.86

---

Here is a relaxed structure of Tb2PmSmS4 from the Alexandria database. Energies are from PBE-GGA.

Summary:
SG	No. 10
raw formation energy	-2019	meV/atom
final energy	-6.424	eV per atom

Lattice parameters (Å, degrees): 3.9351 6.9396 6.8782 71.01 90.00 90.00
Closest atoms and distances in Å follow each position.
Fractional coordinates of all 8 atoms:
Tb  0.0000  0.0000  0.0000  6 S 2.78
Tb  0.5000  0.0000  0.5000  6 S 2.77
Pm  0.5000  0.5000  0.0000  6 S 2.85
Sm  0.0000  0.5000  0.5000  6 S 2.84
S  0.0000  0.7596  0.7457  3 Tb 2.77-2.78, 1 Sm 2.84, 2 Pm 2.85
S  0.0000  0.2404  0.2543  3 Tb 2.77-2.78, 1 Sm 2.84, 2 Pm 2.85
S  0.5000  0.7588  0.2479  3 Tb 2.77-2.78, 2 Sm 2.84, 1 Pm 2.85
S  0.5000  0.2412  0.7521  3 Tb 2.77-2.78, 2 Sm 2.84, 1 Pm 2.85

---

Here is a relaxed structure of Tb3PmSm3S8 from the Alexandria database. Energies are from PBE-GGA.

Summary:
SG	No. 166
raw formation energy	-2050	meV/atom
final energy	-6.438	eV per atom

Lattice parameters (Å, degrees): 7.9200 7.9202 7.9406 119.91 90.00 120.00
Closest atoms and distances in Å follow each position.
Fractional coordinates of all 15 atoms:
Tb  0.5000  0.0000  0.5000  6 S 2.78
Tb  0.5000  0.5000  0.5000  6 S 2.78
Tb  0.0000  0.5000  0.5000  6 S 2.78
Pm  0.0000  0.0000  0.5000  6 S 2.84
Sm  0.0000  0.0000  0.0000  6 S 2.83
Sm  0.0000  0.5000  0.0000  6 S 2.83
Sm  0.5000  0.5000  0.0000  6 S 2.83
S  0.2524  0.5048  0.2572  3 Tb 2.78, 3 Sm 2.83
S  0.7476  0.4952  0.7428  3 Tb 2.78, 3 Sm 2.83
S  0.7467  0.4934  0.2516  2 Tb 2.78, 2 Sm 2.83, 1 Pm 2.84
S  0.2533  0.5066  0.7484  2 Tb 2.78, 2 Sm 2.83, 1 Pm 2.84
S  0.7467  0.0050  0.2516  2 Tb 2.78, 2 Sm 2.83, 1 Pm 2.84
S  0.2533  0.9950  0.7484  2 Tb 2.78, 2 Sm 2.83, 1 Pm 2.84
S  0.2583  0.0050  0.2516  2 Tb 2.78, 2 Sm 2.83, 1 Pm 2.84
S  0.7417  0.9950  0.7484  2 Tb 2.78, 2 Sm 2.83, 1 Pm 2.84

---

Here is a relaxed structure of PmSmTe2S from the Alexandria database. Energies are from PBE-GGA.

Summary:
SG	No. 129
raw formation energy	-1508	meV/atom
final energy	-5.484	eV per atom

Lattice parameters (Å, degrees): 4.4801 4.4801 15.9366 90.00 90.00 90.00
Closest atoms and distances in Å follow each position.
Fractional coordinates of all 10 atoms:
Pm  0.5000  0.0000  0.6015  4 S 2.76
Pm  0.0000  0.5000  0.3985  4 S 2.76
Sm  0.5000  0.0000  0.1153  6 Te 2.96-3.32
Sm  0.0000  0.5000  0.8847  6 Te 2.96-3.32
Te  0.0000  0.5000  0.6989  1 Sm 2.96
Te  0.0000  0.5000  0.0927  5 Sm 3.19-3.32
Te  0.5000  0.0000  0.9073  5 Sm 3.19-3.32
Te  0.5000  0.0000  0.3011  1 Sm 2.96
S  0.0000  0.0000  0.5000  4 Pm 2.76
S  0.5000  0.5000  0.5000  4 Pm 2.76

---

Here is a relaxed structure of PmSmTeS2 from the Alexandria database. Energies are from PBE-GGA.

Summary:
SG	No. 107
raw formation energy	-1631	meV/atom
final energy	-5.804	eV per atom

Lattice parameters (Å, degrees): 4.5383 4.5383 7.7117 107.11 107.11 90.00
Closest atoms and distances in Å follow each position.
Fractional coordinates of all 5 atoms:
Pm  0.1424  0.1424  0.2847  4 S 2.73
Sm  0.8565  0.8565  0.7130  4 S 2.71
Te  0.5001  0.5001  0.0003  4 Pm 3.78, 4 Sm 3.79, 8 S 4.17-4.18
S  0.7505  0.2505  0.5010  2 Sm 2.71, 2 Pm 2.73
S  0.2505  0.7505  0.5010  2 Sm 2.71, 2 Pm 2.73

---

Here is a relaxed structure of PmSm3Th2S6 from the Alexandria database. Energies are from PBE-GGA.

Summary:
SG	No. 12
raw formation energy	-1952	meV/atom
final energy	-6.828	eV per atom

Lattice parameters (Å, degrees): 6.9402 6.9402 7.0056 99.53 99.53 119.83
Closest atoms and distances in Å follow each position.
Fractional coordinates of all 12 atoms:
Pm  0.0000  0.0000  0.0000  6 S 2.86
Sm  0.1644  0.8356  0.5000  6 S 2.82-2.84
Sm  0.8356  0.1644  0.5000  6 S 2.82-2.84
Sm  0.5000  0.5000  0.5000  6 S 2.83-2.84
Th  0.3330  0.6670  0.0000  6 S 2.85-2.86
Th  0.6670  0.3330  0.0000  6 S 2.85-2.86
S  0.9151  0.5815  0.7454  3 Sm 2.83-2.84, 2 Th 2.86, 1 Pm 2.86
S  0.7504  0.7504  0.2520  3 Sm 2.82-2.84, 2 Th 2.85, 1 Pm 2.86
S  0.0849  0.4185  0.2546  3 Sm 2.83-2.84, 2 Th 2.86, 1 Pm 2.86
S  0.5815  0.9151  0.7454  3 Sm 2.83-2.84, 2 Th 2.86, 1 Pm 2.86
S  0.2496  0.2496  0.7480  3 Sm 2.82-2.84, 2 Th 2.85, 1 Pm 2.86
S  0.4185  0.0849  0.2546  3 Sm 2.83-2.84, 2 Th 2.86, 1 Pm 2.86